Entry from Alexandria via LeMat-Bulk: a PBEsol-optimized structure of MgTe4Ir (SCAN).

Structure (extended XYZ):
```
6
Lattice="0.000 4.276 4.276 4.276 0.000 4.276 4.276 4.276 0.000" Properties=species:S:1:pos:R:3 pbc="T T T"
Mg 0.000 0.000 0.000
Te 3.216 3.216 3.216
Te 5.337 5.337 3.216
Te 5.337 3.216 5.337
Te 3.216 5.337 5.337
Ir 6.414 6.414 6.414
```

Summary:
Magnetization   0.001 Bohr magnetons per cell
Space-group type   No. 216
Raw formation energy   1079 meV/atom


Entry from Alexandria via LeMat-Bulk: a PBEsol-optimized structure of Zr2Ag (SCAN).

Structure (extended XYZ):
```
3
Lattice="-1.605 1.605 5.950 1.605 -1.605 5.950 1.605 1.605 -5.950" Properties=species:S:1:pos:R:3 pbc="T T T"
Zr 0.000 0.000 1.931
Zr 0.000 0.000 9.970
Ag 0.000 0.000 5.950
```

Summary:
Magnetization   0.000 Bohr magnetons per cell
Calculated formation energy   -132 meV/atom
Space-group type   No. 139


Entry from Alexandria via LeMat-Bulk: a PBEsol-optimized structure of CuAgGe2Pt (SCAN).

Structure (extended XYZ):
```
5
Lattice="4.418 0.000 0.000 0.000 4.418 0.000 0.000 0.000 4.750" Properties=species:S:1:pos:R:3 pbc="T T T"
Cu 0.000 0.000 0.000
Ag 2.209 2.209 2.375
Ge 0.000 2.209 0.000
Ge 2.209 0.000 0.000
Pt 0.000 0.000 2.375
```

Summary:
Magnetization   0.000 Bohr magnetons per cell
Calculated formation energy   570 meV/atom
Space-group type   No. 123


Entry from Alexandria via LeMat-Bulk: a PBEsol-optimized structure of LiZrSe (SCAN).

Structure (extended XYZ):
```
3
Lattice="3.480 0.000 0.000 -1.740 3.014 0.000 0.000 0.000 6.051" Properties=species:S:1:pos:R:3 pbc="T T T"
Li 0.000 0.000 0.000
Zr 1.740 1.005 2.719
Se 0.000 2.009 4.456
```

Summary:
Magnetization   0.880 Bohr magnetons per cell
Space-group type   No. 156
Raw formation energy   -690 meV/atom


Entry from Alexandria via LeMat-Bulk: a PBEsol-optimized structure of FeRhW2 (SCAN).

Structure (extended XYZ):
```
4
Lattice="0.000 3.043 3.043 3.043 0.000 3.043 3.043 3.043 0.000" Properties=species:S:1:pos:R:3 pbc="T T T"
Fe 0.000 0.000 0.000
Rh 3.043 3.043 3.043
W 1.521 1.521 1.521
W 4.564 4.564 4.564
```

Summary:
ΔE to the lowest computed polymorph   286 meV per atom
Magnetization   2.701 Bohr magnetons per cell
Calculated formation energy   352 meV/atom
Space-group type   No. 225


Entry from Alexandria via LeMat-Bulk: a PBEsol-optimized structure of Sc7Hg (SCAN).

Structure (extended XYZ):
```
8
Lattice="0.000 4.489 4.489 4.489 0.000 4.489 4.489 4.489 0.000" Properties=species:S:1:pos:R:3 pbc="T T T"
Sc 0.000 0.000 0.000
Sc 2.244 2.244 0.000
Sc 2.244 0.000 2.244
Sc 4.489 2.244 2.244
Sc 0.000 2.244 2.244
Sc 2.244 4.489 2.244
Sc 2.244 2.244 4.489
Hg 4.489 4.489 4.489
```

Summary:
Magnetization   0.000 Bohr magnetons per cell
Calculated formation energy   -100 meV/atom
Space-group type   No. 225


Entry from Alexandria via LeMat-Bulk: a PBEsol-optimized structure of LaSiNi2 (SCAN).

Structure (extended XYZ):
```
4
Lattice="1.986 1.147 5.078 -1.986 1.147 5.078 0.000 -2.293 5.078" Properties=species:S:1:pos:R:3 pbc="T T T"
La 0.000 0.000 0.000
Si 0.000 0.000 3.011
Ni 0.000 0.000 7.613
Ni 0.000 0.000 12.253
```

Summary:
Magnetization   0.000 Bohr magnetons per cell
Space-group type   No. 160
Raw formation energy   -561 meV/atom


Entry from Alexandria via LeMat-Bulk: a PBEsol-optimized structure of HfHg3F (SCAN).

Structure (extended XYZ):
```
5
Lattice="5.485 0.000 0.000 0.000 5.485 0.000 0.000 0.000 5.485" Properties=species:S:1:pos:R:3 pbc="T T T"
Hf 0.000 0.000 0.000
Hg 0.000 0.000 2.743
Hg 0.000 2.743 0.000
Hg 2.743 0.000 0.000
F 2.743 2.743 2.743
```

Summary:
Magnetization   0.001 Bohr magnetons per cell
Space-group type   No. 221
Raw formation energy   247 meV/atom


Entry from Alexandria via LeMat-Bulk: a PBEsol-optimized structure of ZrSc2Fe (SCAN).

Structure (extended XYZ):
```
4
Lattice="-1.594 2.343 4.937 1.594 -2.343 4.937 1.594 2.343 -4.937" Properties=species:S:1:pos:R:3 pbc="T T T"
Zr 0.000 0.000 0.000
Sc 1.594 0.000 2.919
Sc 0.000 2.343 2.018
Fe 0.000 0.000 4.937
```

Summary:
ΔE to the lowest computed polymorph   17 meV per atom
Magnetization   0.049 Bohr magnetons per cell
Calculated formation energy   -14 meV/atom
Space-group type   No. 71


Entry from Alexandria via LeMat-Bulk: a PBEsol-optimized structure of LaTeF3 (SCAN).

Structure (extended XYZ):
```
5
Lattice="4.697 0.000 0.000 0.000 4.697 0.000 0.000 0.000 4.697" Properties=species:S:1:pos:R:3 pbc="T T T"
La 0.000 0.000 0.000
Te 2.349 2.349 2.349
F 0.000 0.000 2.349
F 0.000 2.349 0.000
F 2.349 0.000 0.000
```

Summary:
Magnetization   2.000 Bohr magnetons per cell
Space-group type   No. 221
Raw formation energy   -2958 meV/atom


Entry from Alexandria via LeMat-Bulk: a PBEsol-optimized structure of BaFeRh (SCAN).

Structure (extended XYZ):
```
3
Lattice="-1.697 1.697 5.616 1.697 -1.697 5.616 1.697 1.697 -5.616" Properties=species:S:1:pos:R:3 pbc="T T T"
Ba 0.000 0.000 0.000
Fe 0.000 0.000 8.162
Rh 0.000 0.000 3.101
```

Summary:
ΔE to the lowest computed polymorph   70 meV per atom
Magnetization   3.262 Bohr magnetons per cell
Calculated formation energy   196 meV/atom
Space-group type   No. 107


Entry from Alexandria via LeMat-Bulk: a PBEsol-optimized structure of BaSr3Ag (SCAN).

Structure (extended XYZ):
```
5
Lattice="6.212 0.000 0.000 0.000 6.212 0.000 0.000 0.000 6.212" Properties=species:S:1:pos:R:3 pbc="T T T"
Ba 0.000 0.000 0.000
Sr 0.000 3.106 3.106
Sr 3.106 0.000 3.106
Sr 3.106 3.106 0.000
Ag 3.106 3.106 3.106
```

Summary:
Magnetization   0.129 Bohr magnetons per cell
Calculated formation energy   -121 meV/atom
Space-group type   No. 221


Entry from Alexandria via LeMat-Bulk: a PBEsol-optimized structure of CoOsAu2 (SCAN).

Structure (extended XYZ):
```
4
Lattice="2.730 0.000 0.000 0.000 2.730 0.000 0.000 0.000 7.767" Properties=species:S:1:pos:R:3 pbc="T T T"
Co 0.000 0.000 0.000
Os 1.365 1.365 1.489
Au 0.000 0.000 3.614
Au 1.365 1.365 5.844
```

Summary:
ΔE to the lowest computed polymorph   0 meV per atom
Magnetization   0.002 Bohr magnetons per cell
Calculated formation energy   328 meV/atom
Space-group type   No. 99


Entry from Alexandria via LeMat-Bulk: a PBEsol-optimized structure of HfScP2S (SCAN).

Structure (extended XYZ):
```
5
Lattice="4.880 0.000 0.000 0.000 4.880 0.000 0.000 0.000 4.762" Properties=species:S:1:pos:R:3 pbc="T T T"
Hf 0.000 0.000 0.000
Sc 2.440 2.440 2.381
P 0.000 2.440 0.000
P 2.440 0.000 0.000
S 0.000 0.000 2.381
```

Summary:
Magnetization   0.000 Bohr magnetons per cell
Space-group type   No. 123
Raw formation energy   -415 meV/atom


Entry from Alexandria via LeMat-Bulk: a PBEsol-optimized structure of LaHf2MoC (SCAN).

Structure (extended XYZ):
```
5
Lattice="5.031 0.000 0.000 0.000 5.031 0.000 0.000 0.000 4.581" Properties=species:S:1:pos:R:3 pbc="T T T"
La 0.000 0.000 0.000
Hf 0.000 2.515 0.000
Hf 2.515 0.000 0.000
Mo 0.000 0.000 2.290
C 2.515 2.515 2.290
```

Summary:
Magnetization   0.000 Bohr magnetons per cell
Calculated formation energy   3032 meV/atom
Space-group type   No. 123


Entry from Alexandria via LeMat-Bulk: a PBEsol-optimized structure of SiRhOF2 (SCAN).

Structure (extended XYZ):
```
5
Lattice="3.734 0.000 0.000 0.000 3.734 0.000 0.000 0.000 4.910" Properties=species:S:1:pos:R:3 pbc="T T T"
Si 0.000 0.000 0.000
Rh 0.000 0.000 2.455
O 1.867 1.867 0.000
F 0.000 1.867 2.455
F 1.867 0.000 2.455
```

Summary:
Magnetization   0.328 Bohr magnetons per cell
Space-group type   No. 123
Raw formation energy   -454 meV/atom


Entry from Alexandria via LeMat-Bulk: a PBEsol-optimized structure of CaMgSn (SCAN).

Structure (extended XYZ):
```
12
Lattice="7.768 0.000 0.000 0.000 4.666 0.000 0.000 0.000 8.705" Properties=species:S:1:pos:R:3 pbc="T T T"
Ca 0.149 1.167 1.605
Ca 3.736 3.500 5.958
Ca 4.033 1.167 2.747
Ca 7.620 3.500 7.099
Mg 1.128 1.167 4.903
Mg 2.756 3.500 0.551
Mg 5.013 1.167 8.154
Mg 6.640 3.500 3.801
Sn 1.829 3.500 3.342
Sn 2.056 1.167 7.694
Sn 5.713 3.500 1.011
Sn 5.940 1.167 5.363
```

Summary:
Magnetization   0.000 Bohr magnetons per cell
Calculated formation energy   -627 meV/atom
Space-group type   No. 62


Entry from Alexandria via LeMat-Bulk: a PBEsol-optimized structure of Li3ScAl (SCAN).

Structure (extended XYZ):
```
5
Lattice="4.963 0.000 0.000 0.000 4.963 0.000 0.000 0.000 4.963" Properties=species:S:1:pos:R:3 pbc="T T T"
Li 0.000 0.000 2.482
Li 0.000 2.482 0.000
Li 2.482 0.000 0.000
Sc 0.000 0.000 0.000
Al 2.482 2.482 2.482
```

Summary:
Magnetization   1.642 Bohr magnetons per cell
Calculated formation energy   1132 meV/atom
Space-group type   No. 221


Entry from Alexandria via LeMat-Bulk: a PBEsol-optimized structure of Li4YRh (SCAN).

Structure (extended XYZ):
```
6
Lattice="0.000 3.632 3.632 3.632 0.000 3.632 3.632 3.632 0.000" Properties=species:S:1:pos:R:3 pbc="T T T"
Li 2.749 2.749 2.749
Li 4.514 4.514 2.749
Li 4.514 2.749 4.514
Li 2.749 4.514 4.514
Y 0.000 0.000 0.000
Rh 5.447 5.447 5.447
```

Summary:
Magnetization   0.363 Bohr magnetons per cell
Calculated formation energy   -31 meV/atom
Space-group type   No. 216


Entry from Alexandria via LeMat-Bulk: a PBEsol-optimized structure of Eu2TaAlO6 (SCAN).

Structure (extended XYZ):
```
10
Lattice="0.000 3.874 3.874 3.874 0.000 3.874 3.874 3.874 0.000" Properties=species:S:1:pos:R:3 pbc="T T T"
Eu 1.937 1.937 1.937
Eu 5.811 5.811 5.811
Ta 0.000 0.000 0.000
Al 3.874 3.874 3.874
O 3.874 3.874 1.983
O 3.874 1.983 3.874
O 5.766 3.874 3.874
O 1.983 3.874 3.874
O 3.874 5.766 3.874
O 3.874 3.874 5.766
```

Summary:
Magnetization   14.000 Bohr magnetons per cell
Space-group type   No. 225
Raw formation energy   -3335 meV/atom


Number 1: electronic total energy -1.3389 Ha/atom. Number 2: electronic total energy -1.1412 Ha/atom. Number 3: electronic total energy -1.1178 Ha/atom. Number 4: electronic total energy -0.6766 Ha/atom. Number 5: electronic total energy -1.7444 Ha/atom. Number 6: electronic total energy -0.7746 Ha/atom. Number 7: electronic total energy -0.8058 Ha/atom. Number 8: electronic total energy -1.9806 Ha/atom. Number 9: electronic total energy -0.7107 Ha/atom. Number 10: electronic total energy -0.7774 Ha/atom. Number 11: electronic total energy -1.1131 Ha/atom. Number 12: electronic total energy -1.0168 Ha/atom. Number 13: electronic total energy -2.0780 Ha/atom. Number 14: electronic total energy -0.8042 Ha/atom. Number 15: electronic total energy -1.4573 Ha/atom. Number 16: electronic total energy -0.4364 Ha/atom. Number 17: electronic total energy -0.6424 Ha/atom. Number 18: electronic total energy -0.1727 Ha/atom. Number 19: electronic total energy -0.4371 Ha/atom. Number 20: electronic total energy -0.9279 Ha/atom.